[1]
# PrNdTe2

A relaxed PrNdTe2 crystal (PBE, Alexandria).

The size of the total moment is 0.00 μB per formula unit. As for the calculated total energy: -5.2924 eV per atom. The calculation puts the density at 7.6 g/cm3. The energy above the most stable polymorph in this dataset comes out at 0.098 eV/atom.

a = 5.504 Å, b = 5.504 Å, c = 3.890 Å
α = 90.00°, β = 90.00°, γ = 90.00°
Space group P4/mmm (No. 123)
Asymmetric unit:
Pr 0.000 0.000 0.000 x1
Nd 0.500 0.500 0.000 x1
Te 0.000 0.500 0.500 x2

[2]
# PrNd3Te6

A relaxed PrNd3Te6 crystal (PBE, Alexandria).

The size of the total moment is 0.00 μB per formula unit. As for the calculated total energy: -5.2250 eV per atom. The calculation puts the density at 6.2 g/cm3. The energy above the most stable polymorph in this dataset comes out at 0.000 eV/atom.

a = 12.775 Å, b = 4.497 Å, c = 13.166 Å
α = 90.00°, β = 109.19°, γ = 90.00°
Space group P2_1/m (No. 11)
Asymmetric unit:
Pr 0.045 0.250 0.194 x2
Nd 0.156 0.250 0.581 x2
Nd 0.318 0.750 0.998 x2
Nd 0.431 0.250 0.332 x2
Te 0.085 0.750 0.399 x2
Te 0.113 0.250 0.967 x2
Te 0.191 0.750 0.751 x2
Te 0.251 0.750 0.220 x2
Te 0.394 0.250 0.562 x2
Te 0.486 0.250 0.118 x2

[3]
# Pr2NdTe

A relaxed Pr2NdTe crystal (PBE, Alexandria).

The size of the total moment is 1.02 μB per formula unit. As for the calculated total energy: -4.6838 eV per atom. The calculation puts the density at 6.1 g/cm3. The energy above the most stable polymorph in this dataset comes out at 0.377 eV/atom.

a = 3.9892 Å, b = 3.9892 Å, c = 32.8567 Å
α = 90.00°, β = 90.00°, γ = 120.00°
Space group R-3m (No. 166, hexagonal axes)
Asymmetric unit:
Pr 0.0000 0.0000 0.1023 x6
Nd 0.0000 0.0000 0.0000 x3
Te 0.0000 0.0000 0.5000 x3

[4]
# PrNd2Te

A relaxed PrNd2Te crystal (PBE, Alexandria).

The size of the total moment is 1.17 μB per formula unit. As for the calculated total energy: -4.6870 eV per atom. The calculation puts the density at 6.2 g/cm3. The energy above the most stable polymorph in this dataset comes out at 0.372 eV/atom.

a = 3.9749 Å, b = 3.9749 Å, c = 32.8349 Å
α = 90.00°, β = 90.00°, γ = 120.00°
Space group R-3m (No. 166, hexagonal axes)
Asymmetric unit:
Pr 0.0000 0.0000 0.0000 x3
Nd 0.0000 0.0000 0.1030 x6
Te 0.0000 0.0000 0.5000 x3